VASP calculation (GGA-PBE) on a geometry-optimized RbRhBrO2 structure.

Geometry as POSCAR:
```
RbRhBrO2
1.0
4.2875 0.0000 0.0000
0.0000 4.2875 0.0000
0.0000 0.0000 8.3216
Rb Rh Br O
1 1 1 2
Direct
0.0000 0.0000 0.0000
0.0000 0.0000 0.5000
0.5000 0.5000 0.5000
0.0000 0.5000 0.0000
0.5000 0.0000 0.0000
```

Calculated values
**Crystal system**: tetragonal
**Total magnetic moment**: 2.996 Bohr magnetons per cell
**Space-group type**: P4/mmm
**Energy**: -2.80 eV/atom

=====

VASP calculation (GGA-PBE) on a geometry-optimized RbRhBr2O structure.

Geometry as POSCAR:
```
RbRhBr2O
1.0
5.5900 0.0000 0.0000
0.0000 5.5900 0.0000
0.0000 0.0000 3.7780
Rb Rh Br O
1 1 2 1
Direct
0.0000 0.0000 0.0000
0.5000 0.5000 0.5000
0.0000 0.5000 0.5000
0.5000 0.0000 0.5000
0.5000 0.5000 0.0000
```

Calculated values
**Crystal system**: tetragonal
**Total magnetic moment**: 0.000 Bohr magnetons per cell
**Space-group type**: P4/mmm
**Energy**: -4.16 eV/atom

=====

VASP calculation (GGA-PBE) on a geometry-optimized Rb6SBr2O structure.

Geometry as POSCAR:
```
Rb6SBr2O
1.0
8.0771 0.0000 0.0000
0.0000 11.8005 0.0000
0.0000 0.0000 8.9232
Rb S Br O
12 2 4 2
Direct
0.0138 0.2500 0.0238
0.0160 0.7500 0.4077
0.2500 0.0142 0.7897
0.2500 0.4858 0.7897
0.4840 0.7500 0.4077
0.4862 0.2500 0.0238
0.5138 0.7500 0.9762
0.5160 0.2500 0.5923
0.7500 0.5142 0.2103
0.7500 0.9858 0.2103
0.9840 0.2500 0.5923
0.9862 0.7500 0.9762
0.2500 0.7500 0.6994
0.7500 0.2500 0.3006
0.2500 0.5422 0.1760
0.2500 0.9578 0.1760
0.7500 0.0422 0.8240
0.7500 0.4578 0.8240
0.2500 0.2500 0.7860
0.7500 0.7500 0.2140
```

Calculated values
**Crystal system**: orthorhombic
**Total magnetic moment**: 0.188 Bohr magnetons per cell
**Space-group type**: Pmmn
**Energy**: -3.05 eV/atom

=====

VASP calculation (GGA-PBE) on a geometry-optimized Rb3S2BrO8 structure.

Geometry as POSCAR:
```
Rb3S2BrO8
1.0
5.9737 0.0000 0.0000
-2.9869 5.1734 0.0000
0.0000 0.0000 9.6987
Rb S Br O
3 2 1 8
Direct
0.0000 0.0000 0.0000
0.3333 0.6667 0.7039
0.6667 0.3333 0.2961
0.3333 0.6667 0.1721
0.6667 0.3333 0.8279
0.0000 0.0000 0.5000
0.1967 0.3934 0.2206
0.1967 0.8033 0.2206
0.3333 0.6667 0.0178
0.3934 0.1967 0.7794
0.6066 0.8033 0.2206
0.6667 0.3333 0.9822
0.8033 0.1967 0.7794
0.8033 0.6066 0.7794
```

Calculated values
**Crystal system**: trigonal
**Total magnetic moment**: 2.091 Bohr magnetons per cell
**Space-group type**: P-3m1
**Energy**: -5.22 eV/atom

=====

VASP calculation (GGA-PBE) on a geometry-optimized Rb2SbBr6O structure.

Geometry as POSCAR:
```
Rb2SbBr6O
1.0
-4.1084 4.1084 4.8983
4.1084 -4.1084 4.8983
4.1084 4.1084 -4.8983
Rb Sb Br O
2 1 6 1
Direct
0.2500 0.7500 0.5000
0.7500 0.2500 0.5000
0.0000 0.0000 0.0000
0.2353 0.2353 0.4706
0.2353 0.7647 0.0000
0.2762 0.2762 0.0000
0.7238 0.7238 0.0000
0.7647 0.2353 0.0000
0.7647 0.7647 0.5294
0.5000 0.5000 0.0000
```

Calculated values
**Crystal system**: tetragonal
**Total magnetic moment**: 1.001 Bohr magnetons per cell
**Space-group type**: I4/mmm
**Energy**: -2.87 eV/atom

=====

VASP calculation (GGA-PBE) on a geometry-optimized Rb5SbBr2O4 structure.

Geometry as POSCAR:
```
Rb5SbBr2O4
1.0
9.1137 0.0000 0.0000
0.0000 5.4919 3.4987
0.0000 -5.4919 3.4987
Rb Sb Br O
5 1 2 4
Direct
0.0000 0.0000 0.0000
0.3019 0.1940 0.5526
0.3019 0.5526 0.1940
0.6981 0.1940 0.5526
0.6981 0.5526 0.1940
0.5000 0.8945 0.8945
0.0000 0.4435 0.8314
0.0000 0.8314 0.4435
0.3319 0.0618 0.0618
0.5000 0.5900 0.8730
0.5000 0.8730 0.5900
0.6681 0.0618 0.0618
```

Calculated values
**Crystal system**: orthorhombic
**Total magnetic moment**: 0.091 Bohr magnetons per cell
**Space-group type**: Amm2
**Energy**: -4.24 eV/atom

=====

VASP calculation (GGA-PBE) on a geometry-optimized RbSbBrO2 structure.

Geometry as POSCAR:
```
RbSbBrO2
1.0
3.2987 -7.0831 0.0000
3.2987 7.0831 0.0000
0.0000 0.0000 5.5605
Rb Sb Br O
2 2 2 4
Direct
0.1277 0.8723 0.7500
0.8723 0.1277 0.2500
0.4488 0.5512 0.7500
0.5512 0.4488 0.2500
0.2793 0.7207 0.2500
0.7207 0.2793 0.7500
0.3057 0.3057 0.0000
0.3057 0.3057 0.5000
0.6943 0.6943 0.0000
0.6943 0.6943 0.5000
```

Calculated values
**Crystal system**: orthorhombic
**Total magnetic moment**: 0.000 Bohr magnetons per cell
**Space-group type**: Cmcm
**Energy**: -4.63 eV/atom

=====

VASP calculation (GGA-PBE) on a geometry-optimized Rb2ScBr6O structure.

Geometry as POSCAR:
```
Rb2ScBr6O
1.0
-3.8341 3.8341 5.4148
3.8341 -3.8341 5.4148
3.8341 3.8341 -5.4148
Rb Sc Br O
2 1 6 1
Direct
0.2500 0.7500 0.5000
0.7500 0.2500 0.5000
0.0000 0.0000 0.0000
0.2454 0.2454 0.4907
0.2454 0.7546 0.0000
0.2458 0.2458 0.0000
0.7542 0.7542 0.0000
0.7546 0.2454 0.0000
0.7546 0.7546 0.5093
0.5000 0.5000 0.0000
```

Calculated values
**Crystal system**: tetragonal
**Total magnetic moment**: 3.000 Bohr magnetons per cell
**Space-group type**: I4/mmm
**Energy**: -3.43 eV/atom

=====

VASP calculation (GGA-PBE) on a geometry-optimized Rb2ScBrO structure.

Geometry as POSCAR:
```
Rb2ScBrO
1.0
6.7024 0.0000 0.0000
0.0000 6.7024 0.0000
0.0000 0.0000 4.3247
Rb Sc Br O
2 1 1 1
Direct
0.0000 0.5000 0.0000
0.5000 0.0000 0.0000
0.0000 0.0000 0.5000
0.5000 0.5000 0.0000
0.5000 0.5000 0.5000
```

Calculated values
**Crystal system**: tetragonal
**Total magnetic moment**: 1.971 Bohr magnetons per cell
**Space-group type**: P4/mmm
**Energy**: -2.72 eV/atom

=====

VASP calculation (GGA-PBE) on a geometry-optimized RbSeBr2O structure.

Geometry as POSCAR:
```
RbSeBr2O
1.0
6.5907 0.0000 0.0000
0.0000 6.5907 0.0000
0.0000 0.0000 7.3031
Rb Se Br O
1 1 2 1
Direct
0.0000 0.0000 0.0000
0.0000 0.0000 0.5000
0.0000 0.5000 0.0000
0.5000 0.0000 0.0000
0.5000 0.5000 0.5000
```

Calculated values
**Energy above the most stable polymorph in this dataset**: 1140 meV per atom
**Crystal system**: tetragonal
**Total magnetic moment**: 3.222 Bohr magnetons per cell
**Space-group type**: P4/mmm
**Energy**: -1.85 eV/atom

=====

VASP calculation (GGA-PBE) on a geometry-optimized RbSeBr2O structure.

Geometry as POSCAR:
```
RbSeBr2O
1.0
6.6171 0.0000 0.0000
0.0000 6.6171 0.0000
0.0000 0.0000 3.6458
Rb Se Br O
1 1 2 1
Direct
0.0000 0.0000 0.0000
0.5000 0.5000 0.0000
0.0000 0.5000 0.5000
0.5000 0.0000 0.5000
0.5000 0.5000 0.5000
```

Calculated values
**Energy above the most stable polymorph in this dataset**: 0 meV per atom
**Crystal system**: tetragonal
**Total magnetic moment**: 0.000 Bohr magnetons per cell
**Space-group type**: P4/mmm
**Energy**: -2.99 eV/atom

=====

VASP calculation (GGA-PBE) on a geometry-optimized RbSeBr2O structure.

Geometry as POSCAR:
```
RbSeBr2O
1.0
6.4998 0.0000 0.0000
0.0000 6.4998 0.0000
0.0000 0.0000 5.1679
Rb Se Br O
1 1 2 1
Direct
0.0000 0.0000 0.0000
0.5000 0.5000 0.5000
0.0000 0.5000 0.0000
0.5000 0.0000 0.0000
0.0000 0.0000 0.5000
```

Calculated values
**Energy above the most stable polymorph in this dataset**: 973 meV per atom
**Crystal system**: tetragonal
**Total magnetic moment**: 1.166 Bohr magnetons per cell
**Space-group type**: P4/mmm
**Energy**: -2.02 eV/atom